1.
{
  "formula": "Tb2AgPd6",
  "functional": "PBE-GGA",
  "state": "relaxed",
  "space_group": "C2/m, No. 12",
  "formation_energy_ev_per_atom": -0.5072,
  "e_tot_ev_per_cell": -47.83,
  "lattice": [[5.212, 0.000, 0.870], [0.000, 7.762, 0.000], [-1.363, -3.881, 3.920]],
  "species": ["Tb", "Tb", "Ag", "Pd", "Pd", "Pd", "Pd", "Pd", "Pd"],
  "frac_coords": [[0.636, 0.697, 0.394], [0.364, 0.303, 0.606], [0.000, 0.000, 0.000], [0.143, 0.482, 0.309], [0.857, 0.172, 0.691], [0.857, 0.518, 0.691], [0.500, 0.178, 0.000], [0.143, 0.828, 0.309], [0.500, 0.822, 0.000]]
}

---

2.
{
  "formula": "TbAgPd2",
  "functional": "PBE-GGA",
  "state": "relaxed",
  "space_group": "Fm-3m, No. 225",
  "formation_energy_ev_per_atom": -0.6067,
  "e_tot_ev_per_cell": -20.29,
  "relative_energy_ev_per_atom": 0.067,
  "lattice": [[-1.300, -0.863, -4.486], [1.508, -3.933, -2.195], [-3.057, -3.508, -0.954]],
  "species": ["Tb", "Pd", "Pd", "Ag"],
  "frac_coords": [[0.000, 0.000, 0.000], [0.250, 0.250, 0.250], [0.750, 0.750, 0.750], [0.500, 0.500, 0.500]]
}

---

3.
{
  "formula": "Tb4AgPd2",
  "functional": "PBE-GGA",
  "state": "relaxed",
  "space_group": "R-3m, No. 166",
  "formation_energy_ev_per_atom": -0.5254,
  "e_tot_ev_per_cell": -35.44,
  "relative_energy_ev_per_atom": 0.017,
  "lattice": [[-3.878, -3.072, 0.716], [-1.375, -3.173, -3.610], [3.273, -7.716, 2.075]],
  "species": ["Tb", "Tb", "Tb", "Tb", "Ag", "Pd", "Pd"],
  "frac_coords": [[0.872, 0.872, 0.383], [0.128, 0.128, 0.617], [0.622, 0.622, 0.135], [0.378, 0.378, 0.865], [0.000, 0.000, 0.000], [0.752, 0.752, 0.745], [0.248, 0.248, 0.255]]
}

---

Q: Number 2 is which compound?
A: TbAgPd2

---

Q: What is the formula in the first record?
A: Tb2AgPd6